# MnBAs2F | Alexandria via LeMat-Bulk | GGA+U | relaxed
data_MnBAs2F
_chemical_formula_sum 'Mn1 B1 As2 F1'
_cell_length_a 4.7265
_cell_length_b 4.7265
_cell_length_c 4.0845
_cell_angle_alpha 90.00
_cell_angle_beta 90.00
_cell_angle_gamma 90.00
_symmetry_space_group_name_H-M 'P 4/m m m'
_symmetry_Int_Tables_number 123
_symmetry_space_group_name_Hall '-P 4 2'
loop_
_atom_site_label
_atom_site_type_symbol
_atom_site_fract_x
_atom_site_fract_y
_atom_site_fract_z
Mn1 Mn 0.0000 0.0000 0.0000
B1 B 0.5000 0.5000 0.0000
As1 As 0.0000 0.5000 0.5000
F1 F 0.0000 0.0000 0.5000
# Uncorrected energy, eV for the cell shown: -21.26